EuCuAg PBE optimized geometry; DFT total energy = -5.818 eV per atom; calculated formation energy = -77 meV/atom; polymorph energy (0 for the lowest one) = 0.110 eV per atom; space-group type = I4mm
1.0
3.5887 0.0000 0.0000
0.0000 3.5887 0.0000
0.0000 0.0000 10.2238
Eu Cu Ag
2 2 2
Cartesian
0.0000 0.0000 0.0000
1.7944 1.7944 5.1119
0.0000 0.0000 7.0537
1.7944 1.7944 1.9418
0.0000 0.0000 3.0671
1.7944 1.7944 8.1790